No. 1
Below is a geometry-optimized ErAs2P2Pd7 structure, with properties calculated at the GGA-PBE level.

uncorrected energy	-5.5698	eV/atom
symmetry	No. 12

Unit cell a=3.9265 b=3.9265 c=14.7023 alpha=78.23 beta=78.23 gamma=89.17
Closest atoms and distances in Å follow each position.
Element x y z (fractional)
1 P 0.6888 0.6888 0.7497  5 Pd 2.29-2.36
2 P 0.3112 0.3112 0.2503  5 Pd 2.29-2.36
3 As 0.6840 0.6840 0.4259  1 As 2.53, 5 Pd 2.64-2.83
4 As 0.3160 0.3160 0.5741  1 As 2.53, 5 Pd 2.64-2.83
5 Pd 0.1186 0.6184 0.8429  2 P 2.36
6 Pd 0.5000 0.5000 0.0000  4 Er 2.76-2.80, 8 Pd 2.96
7 Pd 0.1981 0.1981 0.4125  1 P 2.29
8 Pd 0.6184 0.1186 0.8429  2 P 2.36
9 Pd 0.3816 0.8814 0.1571  2 P 2.36
10 Pd 0.8814 0.3816 0.1571  2 P 2.36
11 Pd 0.8019 0.8019 0.5875  1 P 2.29
12 Er 0.0000 0.0000 0.0000  12 Pd 2.76-2.96

No. 2
Below is a geometry-optimized Er2AsPPd6 structure, with properties calculated at the GGA-PBE level.

uncorrected energy	-5.7699	eV/atom
symmetry	No. 59

Unit cell a=5.5303 b=7.9494 c=8.6882 alpha=90.00 beta=90.00 gamma=90.00
Closest atoms and distances in Å follow each position.
Element x y z (fractional)
1 Pd 0.0000 0.8736 0.7513  1 P 2.35, 1 As 2.48
2 Pd 0.7484 0.4750 0.5000  1 P 2.29, 1 As 2.43
3 Pd 0.0000 0.8736 0.2487  1 P 2.35, 1 As 2.48
4 Pd 0.5000 0.1264 0.2513  1 P 2.35, 1 As 2.48
5 Pd 0.7497 0.0012 0.0000  1 P 2.39, 1 As 2.57
6 Pd 0.7516 0.5250 0.0000  1 P 2.29, 1 As 2.43
7 Pd 0.7503 0.9988 0.5000  1 P 2.39, 1 As 2.57
8 Pd 0.2484 0.5250 0.0000  1 P 2.29, 1 As 2.43
9 Pd 0.5000 0.1264 0.7487  1 P 2.35, 1 As 2.48
10 Pd 0.2497 0.9988 0.5000  1 P 2.39, 1 As 2.57
11 Pd 0.2516 0.4750 0.5000  1 P 2.29, 1 As 2.43
12 Pd 0.2503 0.0012 0.0000  1 P 2.39, 1 As 2.57
13 P 0.0000 0.7563 0.0000  6 Pd 2.29-2.39
14 P 0.5000 0.2437 0.5000  6 Pd 2.29-2.39
15 As 0.0000 0.7254 0.5000  6 Pd 2.43-2.57
16 As 0.5000 0.2746 0.0000  6 Pd 2.43-2.57
17 Er 0.5000 0.7450 0.7429  7 Pd 2.95-3.23
18 Er 0.0000 0.2550 0.2429  7 Pd 2.95-3.23
19 Er 0.5000 0.7450 0.2571  7 Pd 2.95-3.23
20 Er 0.0000 0.2550 0.7571  7 Pd 2.95-3.23

No. 3
Below is a geometry-optimized PmErAsP structure, with properties calculated at the GGA-PBE level.

uncorrected energy	-6.3644	eV/atom
symmetry	No. 123

Unit cell a=4.1150 b=4.1157 c=5.7996 alpha=89.99 beta=90.00 gamma=90.00
Closest atoms and distances in Å follow each position.
Element x y z (fractional)
1 As 0.5000 0.3916 0.5925  2 Er 2.90, 4 Pm 2.91
2 Er 0.5000 0.3914 0.0924  2 As 2.90, 4 P 2.91
3 Pm 0.0000 0.8916 0.5925  2 P 2.90, 4 As 2.91
4 P 0.0000 0.8914 0.0925  2 Pm 2.90, 4 Er 2.91

No. 4
Below is a geometry-optimized Er2AsPPt6 structure, with properties calculated at the GGA-PBE level.

uncorrected energy	-6.4061	eV/atom
symmetry	No. 59

Unit cell a=5.5515 b=8.3853 c=8.2785 alpha=90.00 beta=90.00 gamma=90.00
Closest atoms and distances in Å follow each position.
Element x y z (fractional)
1 Pt 0.5000 0.1296 0.2474  1 P 2.34, 1 As 2.44
2 Pt 0.7485 0.4742 0.5000  1 P 2.30, 1 As 2.44
3 Pt 0.2485 0.0063 0.5000  1 P 2.50, 6 Pt 2.72-2.79
4 Pt 0.2485 0.5258 0.0000  1 P 2.30, 1 As 2.44
5 Pt 0.5000 0.1296 0.7526  1 P 2.34, 1 As 2.44
6 Pt 0.2515 0.4742 0.5000  1 P 2.30, 1 As 2.44
7 Pt 0.2515 0.9937 0.0000  1 P 2.50, 6 Pt 2.72-2.79
8 Pt 0.0000 0.8704 0.7474  1 P 2.34, 1 As 2.44
9 Pt 0.7485 0.9937 0.0000  1 P 2.50, 6 Pt 2.72-2.79
10 Pt 0.0000 0.8704 0.2526  1 P 2.34, 1 As 2.44
11 Pt 0.7515 0.0063 0.5000  1 P 2.50, 6 Pt 2.72-2.79
12 Pt 0.7515 0.5258 0.0000  1 P 2.30, 1 As 2.44
13 As 0.5000 0.2874 0.0000  4 Pt 2.44
14 As 0.0000 0.7126 0.5000  4 Pt 2.44
15 Er 0.0000 0.2557 0.7487  7 Pt 2.97-3.24
16 Er 0.5000 0.7443 0.7513  7 Pt 2.97-3.24
17 Er 0.0000 0.2557 0.2513  7 Pt 2.97-3.24
18 Er 0.5000 0.7443 0.2487  7 Pt 2.97-3.24
19 P 0.5000 0.2542 0.5000  6 Pt 2.30-2.50
20 P 0.0000 0.7458 0.0000  6 Pt 2.30-2.50

No. 5
Below is a geometry-optimized Er3As2PRh9 structure, with properties calculated at the GGA-PBE level.

uncorrected energy	-6.8513	eV/atom
symmetry	No. 164

Unit cell a=6.6010 b=6.6010 c=7.4644 alpha=90.00 beta=90.00 gamma=120.00
Closest atoms and distances in Å follow each position.
Element x y z (fractional)
1 P 0.0000 0.0000 0.5000  6 Rh 2.22
2 Rh 0.8566 0.1434 0.7008  1 P 2.22, 1 As 2.29
3 Rh 0.7132 0.8566 0.2992  1 P 2.22, 1 As 2.29
4 Rh 0.5000 0.0000 0.0000  2 As 2.44
5 Rh 0.8566 0.7132 0.7008  1 P 2.22, 1 As 2.29
6 Rh 0.0000 0.5000 0.0000  2 As 2.44
7 Rh 0.1434 0.2868 0.2992  1 P 2.22, 1 As 2.29
8 Rh 0.1434 0.8566 0.2992  1 P 2.22, 1 As 2.29
9 Rh 0.2868 0.1434 0.7008  1 P 2.22, 1 As 2.29
10 Rh 0.5000 0.5000 0.0000  2 As 2.44
11 As 0.3333 0.6667 0.2035  6 Rh 2.29-2.44
12 As 0.6667 0.3333 0.7965  6 Rh 2.29-2.44
13 Er 0.6667 0.3333 0.3030  9 Rh 2.96-3.31
14 Er 0.3333 0.6667 0.6970  9 Rh 2.96-3.31
15 Er 0.0000 0.0000 0.0000  6 Rh 2.77

No. 6
Below is a geometry-optimized Er6AsP2S3 structure, with properties calculated at the GGA-PBE level.

uncorrected energy	-6.4262	eV/atom
energy relative to the elements, uncorrected	-1.82	eV per atom
symmetry	No. 12

Unit cell a=3.9435 b=7.8769 c=8.8170 alpha=102.84 beta=102.92 gamma=90.00
Closest atoms and distances in Å follow each position.
Element x y z (fractional)
1 P 0.1669 0.3338 0.3337  6 Er 2.74-2.75
2 P 0.8331 0.6662 0.6663  6 Er 2.74-2.75
3 Er 0.9974 0.7461 0.9947  1 P 2.75, 3 S 2.77-2.82, 2 As 2.80
4 Er 0.6692 0.5783 0.3384  3 P 2.74-2.75, 3 S 2.82-2.83
5 Er 0.6682 0.0920 0.3364  2 P 2.75, 3 S 2.78-2.83, 1 As 2.82
6 Er 0.0026 0.2539 0.0053  1 P 2.75, 3 S 2.77-2.82, 2 As 2.80
7 Er 0.3308 0.4217 0.6616  3 P 2.74-2.75, 3 S 2.82-2.83
8 Er 0.3318 0.9080 0.6636  2 P 2.75, 3 S 2.78-2.83, 1 As 2.82
9 S 0.5000 0.5000 0.0000  6 Er 2.77-2.83
10 S 0.8342 0.1667 0.6684  6 Er 2.78-2.83
11 S 0.1658 0.8333 0.3316  6 Er 2.78-2.83
12 As 0.5000 0.0000 0.0000  6 Er 2.80-2.82

No. 7
Below is a geometry-optimized Er8As3PS3 structure, with properties calculated at the GGA-PBE level.

uncorrected energy	-6.1671	eV/atom
energy relative to the elements, uncorrected	-1.62	eV per atom
symmetry	No. 166

Unit cell a=7.8975 b=7.8969 c=7.9304 alpha=119.86 beta=90.00 gamma=120.00
Closest atoms and distances in Å follow each position.
Element x y z (fractional)
1 Er 0.7494 0.4988 0.7482  3 S 2.79, 3 As 2.80
2 Er 0.2456 0.9970 0.7426  1 P 2.75, 2 S 2.78, 2 As 2.82
3 Er 0.7544 0.0030 0.2574  1 P 2.75, 2 S 2.78, 2 As 2.82
4 Er 0.2486 0.0030 0.2574  1 P 2.75, 2 S 2.78, 2 As 2.82
5 Er 0.2506 0.5012 0.2518  3 S 2.79, 3 As 2.80
6 Er 0.7514 0.9970 0.7426  1 P 2.75, 2 S 2.78, 2 As 2.82
7 Er 0.7544 0.5087 0.2573  1 P 2.75, 2 S 2.78, 2 As 2.82
8 Er 0.2456 0.4913 0.7427  1 P 2.75, 2 S 2.78, 2 As 2.82
9 P 0.0000 0.0000 0.5000  6 Er 2.75
10 S 0.5000 0.5000 0.5000  6 Er 2.78-2.79
11 S 0.5000 0.0000 0.5000  6 Er 2.78-2.79
12 S 0.0000 0.5000 0.5000  6 Er 2.78-2.79
13 As 0.0000 0.5000 0.0000  6 Er 2.80-2.82
14 As 0.0000 0.0000 0.0000  6 Er 2.80-2.82
15 As 0.5000 0.5000 0.0000  6 Er 2.80-2.82

No. 8
Below is a geometry-optimized Er6As3P2S structure, with properties calculated at the GGA-PBE level.

uncorrected energy	-6.3465	eV/atom
energy relative to the elements, uncorrected	-1.66	eV per atom
symmetry	No. 12

Unit cell a=4.0128 b=8.0245 c=8.9607 alpha=102.86 beta=102.94 gamma=90.00
Closest atoms and distances in Å follow each position.
Element x y z (fractional)
1 S 0.5000 0.0000 0.0000  6 Er 2.84
2 As 0.5000 0.5000 0.0000  6 Er 2.83-2.87
3 As 0.1653 0.8340 0.3306  6 Er 2.84-2.87
4 As 0.8347 0.1660 0.6694  6 Er 2.84-2.87
5 Er 0.0019 0.2518 0.0038  1 P 2.79, 3 As 2.83-2.84, 2 S 2.84
6 Er 0.6685 0.5791 0.3370  3 P 2.82, 3 As 2.87
7 Er 0.9981 0.7482 0.9962  1 P 2.79, 3 As 2.83-2.84, 2 S 2.84
8 Er 0.3315 0.4209 0.6630  3 P 2.82, 3 As 2.87
9 Er 0.6671 0.0888 0.3343  2 P 2.80, 1 S 2.84, 3 As 2.85-2.86
10 Er 0.3329 0.9112 0.6657  2 P 2.80, 1 S 2.84, 3 As 2.85-2.86
11 P 0.1659 0.3316 0.3319  6 Er 2.79-2.82
12 P 0.8341 0.6684 0.6681  6 Er 2.79-2.82

No. 9
Below is a geometry-optimized Er6As2P3S structure, with properties calculated at the GGA-PBE level.

uncorrected energy	-6.4324	eV/atom
energy relative to the elements, uncorrected	-1.68	eV per atom
symmetry	No. 12

Unit cell a=3.9922 b=7.9920 c=8.9222 alpha=102.99 beta=102.93 gamma=90.00
Closest atoms and distances in Å follow each position.
Element x y z (fractional)
1 Er 0.3321 0.9214 0.6643  3 P 2.79-2.81, 1 S 2.84, 2 As 2.84
2 Er 0.9981 0.2550 0.9961  3 P 2.77-2.79, 1 As 2.84, 2 S 2.86
3 Er 0.0019 0.7450 0.0039  3 P 2.77-2.79, 1 As 2.84, 2 S 2.86
4 Er 0.6650 0.5872 0.3299  3 P 2.79-2.81, 3 As 2.86-2.87
5 Er 0.6679 0.0786 0.3357  3 P 2.79-2.81, 1 S 2.84, 2 As 2.84
6 Er 0.3350 0.4128 0.6701  3 P 2.79-2.81, 3 As 2.86-2.87
7 P 0.1659 0.8343 0.3317  6 Er 2.77-2.81
8 P 0.5000 0.5000 0.0000  6 Er 2.79
9 P 0.8341 0.1657 0.6683  6 Er 2.77-2.81
10 As 0.8344 0.6690 0.6688  6 Er 2.84-2.87
11 As 0.1656 0.3310 0.3312  6 Er 2.84-2.87
12 S 0.5000 0.0000 0.0000  6 Er 2.84-2.86

No. 10
Below is a geometry-optimized Er4As2PS structure, with properties calculated at the GGA-PBE level.

uncorrected energy	-6.3316	eV/atom
energy relative to the elements, uncorrected	-1.70	eV per atom
symmetry	No. 10

Unit cell a=4.0054 b=6.9239 c=6.9313 alpha=70.59 beta=90.00 gamma=90.00
Closest atoms and distances in Å follow each position.
Element x y z (fractional)
1 Er 0.0000 0.7475 0.7470  1 P 2.80, 3 As 2.83-2.86, 2 S 2.83
2 Er 0.0000 0.2525 0.2530  1 P 2.80, 3 As 2.83-2.86, 2 S 2.83
3 Er 0.5000 0.7446 0.2549  2 P 2.80, 1 S 2.82, 3 As 2.83-2.86
4 Er 0.5000 0.2554 0.7451  2 P 2.80, 1 S 2.82, 3 As 2.83-2.86
5 As 0.0000 0.0000 0.0000  6 Er 2.86
6 As 0.5000 0.0000 0.5000  6 Er 2.83
7 S 0.5000 0.5000 0.0000  6 Er 2.82-2.83
8 P 0.0000 0.5000 0.5000  6 Er 2.80